[1]
NaAg2Pt2 PBE optimized geometry; relative energy among the computed polymorphs = 0.029 eV/atom; N(E_F) = 2.38 states/eV/f.u.
1.0
-4.765 6.573 -1.334
-4.651 -2.060 6.466
1.636 1.523 1.662
Na Ag Pt
2 4 4
Direct
0.000 0.000 0.000
0.500 0.500 0.000
0.375 0.875 0.000
0.875 0.625 0.000
0.625 0.125 0.000
0.125 0.375 0.000
0.171 0.671 0.500
0.671 0.829 0.500
0.829 0.329 0.500
0.329 0.171 0.500

=====

[2]
ErTl2I5 PBE optimized geometry; uncorrected formation energy = -8.00 eV/f.u.; N(E_F) = 0.00 states/eV/f.u.
1.0
-4.813 6.846 -0.632
-8.158 -1.148 -6.035
-9.477 -1.047 5.119
Er Tl I
2 4 10
Direct
0.951 0.784 0.315
0.951 0.284 0.815
0.634 0.477 0.317
0.269 0.090 0.312
0.572 0.977 0.817
0.329 0.590 0.812
0.693 0.312 0.671
0.040 0.547 0.184
0.208 0.255 0.958
0.324 0.812 0.171
0.229 0.047 0.684
0.579 0.755 0.458
0.672 0.521 0.945
0.862 0.021 0.445
0.795 0.034 0.065
0.107 0.534 0.565

=====

[3]
CaCu6Ge2 PBE optimized geometry; electronic total energy = -4.15 eV/atom; N(E_F) = 2.66 states/eV/f.u.
1.0
4.168 0.000 0.000
0.000 4.168 0.000
0.000 0.000 7.906
Ca Cu Ge
1 6 2
Direct
0.000 0.000 0.000
0.000 0.500 0.321
0.500 0.000 0.321
0.000 0.500 0.679
0.500 0.000 0.679
0.500 0.500 0.500
0.000 0.000 0.500
0.500 0.500 0.160
0.500 0.500 0.840

=====

[4]
Tb5ScS6 PBE optimized geometry; uncorrected formation energy = -23.74 eV/f.u.; N(E_F) = 4.58 states/eV/f.u.
1.0
-3.050 -4.446 -4.034
2.514 -6.155 1.100
-2.809 -4.005 4.647
Sc S Tb
1 6 5
Direct
0.000 0.000 0.000
0.757 0.081 0.323
0.243 0.596 0.323
0.246 0.241 0.000
0.754 0.759 0.000
0.757 0.404 0.677
0.243 0.919 0.677
0.500 0.171 0.659
0.000 0.333 0.334
0.500 0.500 0.000
0.000 0.667 0.666
0.500 0.829 0.341

=====

[5]
BaCo2Re PBE optimized geometry; relative energy among the computed polymorphs = 0.749 eV/atom; N(E_F) = 4.55 states/eV/f.u.
1.0
9.585 0.017 0.010
9.118 2.955 0.010
9.118 1.449 2.575
Ba Co Re
1 2 1
Direct
0.253 0.253 0.253
0.021 0.021 0.021
0.746 0.746 0.746
0.480 0.480 0.480

=====

[6]
RbOsF2 PBE optimized geometry; uncorrected formation energy = -1.15 eV/f.u.; relative energy among the computed polymorphs = 0.699 eV/atom; N(E_F) = 1.56 states/eV/f.u.
1.0
-1.139 -6.192 2.042
2.633 -5.697 2.101
0.494 -4.364 4.951
Os Rb F
1 1 2
Direct
0.500 0.500 0.500
0.000 0.000 0.000
0.861 0.861 0.861
0.139 0.139 0.139

=====

[7]
Cd2MoOs PBE optimized geometry; relative energy among the computed polymorphs = 0.195 eV/atom; N(E_F) = 3.67 states/eV/f.u.
1.0
2.817 0.001 0.000
-1.201 2.548 0.000
0.000 0.000 9.989
Cd Mo Os
2 1 1
Direct
0.000 0.000 0.984
0.500 0.500 0.264
0.000 0.000 0.521
0.500 0.500 0.731

=====

[8]
Ac2Nd3Sn4 PBE optimized geometry; relative energy among the computed polymorphs = 0.000 eV/atom; N(E_F) = 8.63 states/eV/f.u.
1.0
8.420 -0.058 0.000
-2.823 8.187 0.000
0.000 0.000 8.704
Ac Nd Sn
4 6 8
Direct
0.568 0.193 0.324
0.932 0.807 0.824
0.432 0.807 0.676
0.068 0.193 0.176
0.000 0.500 0.500
0.500 0.500 0.000
0.748 0.248 0.829
0.752 0.752 0.329
0.252 0.752 0.171
0.248 0.248 0.671
0.855 0.082 0.539
0.645 0.918 0.039
0.145 0.918 0.461
0.355 0.082 0.961
0.865 0.493 0.132
0.635 0.507 0.632
0.135 0.507 0.868
0.365 0.493 0.368

=====

> Which of these has the lowest N(E_F)?

ErTl2I5